## a
The following is a GGA-PBE calculation of a geometry-optimized GaBi3Au structure, from Alexandria via LeMat-Bulk.

The value obtained for the density of states at the Fermi level is 7.134 states/eV/cell.

The structure belongs to space group Ima2 (No. 46); the cell edges are 11.8288, 7.1341 and 6.8803 Å and the angles 90.00°, 90.00° and 90.00°. The distinct sites, in fractional coordinates, are Ga at (0.2500, 0.1661, 0.0000), Bi at (0.0116, 0.2199, 0.2830), Bi at (0.2500, 0.6239, 0.2195) and Au at (0.2500, 0.0133, 0.3324).


## b
The following is a GGA-PBE calculation of a geometry-optimized GaBi3Au structure, from Alexandria via LeMat-Bulk.

The value obtained for the density of states at the Fermi level is 4.562 states/eV/cell.

The structure belongs to space group Pm-3m (No. 221); the cell edges are 5.4406, 5.4406 and 5.4406 Å and the angles 90.00°, 90.00° and 90.00°. The distinct sites, in fractional coordinates, are Ga at (0.0000, 0.0000, 0.0000), Bi at (0.0000, 0.0000, 0.5000) and Au at (0.5000, 0.5000, 0.5000).


Going by the computed energies, the most stable comes first: a, b.


## a
The following is a GGA-PBE calculation of a geometry-optimized Ga2Bi2Au structure, from Alexandria via LeMat-Bulk.

The value obtained for the density of states at the Fermi level is 6.261 states/eV/cell.

The structure belongs to space group I4/mmm (No. 139); the cell edges are 3.7314, 3.7314 and 17.6344 Å and the angles 90.00°, 90.00° and 90.00°. The distinct sites, in fractional coordinates, are Ga at (0.0000, 0.5000, 0.2500), Bi at (0.0000, 0.0000, 0.0983) and Au at (0.0000, 0.0000, 0.5000).


## b
The following is a GGA-PBE calculation of a geometry-optimized Ga2Bi2Au structure, from Alexandria via LeMat-Bulk.

The value obtained for the density of states at the Fermi level is 4.595 states/eV/cell.

The structure belongs to space group P4/mbm (No. 127); the cell edges are 6.7245, 6.7245 and 5.3882 Å and the angles 90.00°, 90.00° and 90.00°. The distinct sites, in fractional coordinates, are Ga at (0.1371, 0.3629, 0.0000), Bi at (0.1788, 0.6788, 0.5000) and Au at (0.0000, 0.0000, 0.0000).


Going by the computed energies, the most stable comes first: b, a.


## a
The following is a GGA-PBE calculation of a geometry-optimized GdBiAu2 structure, from Alexandria via LeMat-Bulk.

The value obtained for the density of states at the Fermi level is 6.494 states/eV/cell.

The structure belongs to space group Fm-3m (No. 225); the cell edges are 7.2374, 7.2374 and 7.2374 Å and the angles 90.00°, 90.00° and 90.00°. The distinct sites, in fractional coordinates, are Gd at (0.0000, 0.0000, 0.0000), Bi at (0.0000, 0.0000, 0.5000) and Au at (0.2500, 0.2500, 0.2500).


## b
The following is a GGA-PBE calculation of a geometry-optimized GdBiAu2 structure, from Alexandria via LeMat-Bulk.

The value obtained for the density of states at the Fermi level is 2.415 states/eV/cell.

The structure belongs to space group P4/mmm (No. 123); the cell edges are 3.7695, 3.7695 and 6.8061 Å and the angles 90.00°, 90.00° and 90.00°. The distinct sites, in fractional coordinates, are Gd at (0.0000, 0.0000, 0.0000), Bi at (0.0000, 0.0000, 0.5000) and Au at (0.5000, 0.5000, 0.2297).


## c
The following is a GGA-PBE calculation of a geometry-optimized GdBiAu2 structure, from Alexandria via LeMat-Bulk.

The value obtained for the density of states at the Fermi level is 2.194 states/eV/cell.

The structure belongs to space group P4/mmm (No. 123); the cell edges are 4.5897, 4.5897 and 4.4647 Å and the angles 90.00°, 90.00° and 90.00°. The distinct sites, in fractional coordinates, are Gd at (0.0000, 0.0000, 0.0000), Bi at (0.5000, 0.5000, 0.0000) and Au at (0.0000, 0.5000, 0.5000).


Going by the computed energies, the most stable comes first: a, b, c.


## a
The following is a GGA-PBE calculation of a geometry-optimized Ge2BiAu2 structure, from Alexandria via LeMat-Bulk.

The value obtained for the density of states at the Fermi level is 3.224 states/eV/cell.

The structure belongs to space group I4/mmm (No. 139); the cell edges are 4.2077, 4.2077 and 12.3770 Å and the angles 90.00°, 90.00° and 90.00°. The distinct sites, in fractional coordinates, are Ge at (0.0000, 0.5000, 0.2500), Bi at (0.0000, 0.0000, 0.0000) and Au at (0.0000, 0.0000, 0.3888).


## b
The following is a GGA-PBE calculation of a geometry-optimized Ge2BiAu2 structure, from Alexandria via LeMat-Bulk.

The value obtained for the density of states at the Fermi level is 4.135 states/eV/cell.

The structure belongs to space group P4/mbm (No. 127); the cell edges are 7.9965, 7.9965 and 3.3563 Å and the angles 90.00°, 90.00° and 90.00°. The distinct sites, in fractional coordinates, are Ge at (0.1514, 0.3486, 0.0000), Bi at (0.0000, 0.0000, 0.5000) and Au at (0.1398, 0.6398, 0.5000).


Going by the computed energies, the most stable comes first: a, b.


## a
The following is a GGA-PBE calculation of a geometry-optimized GeBiAu structure, from Alexandria via LeMat-Bulk.

The value obtained for the density of states at the Fermi level is 1.041 states/eV/cell.

The structure belongs to space group P3m1 (No. 156); the cell edges are 4.3929, 4.3929 and 4.4016 Å and the angles 90.00°, 90.00° and 120.00°. The distinct sites, in fractional coordinates, are Ge at (0.0000, 0.0000, 0.0000), Bi at (0.3333, 0.6667, 0.4975) and Au at (0.6667, 0.3333, 0.8513).


## b
The following is a GGA-PBE calculation of a geometry-optimized GeBiAu structure, from Alexandria via LeMat-Bulk.

The value obtained for the density of states at the Fermi level is 4.412 states/eV/cell.

The structure belongs to space group F-43m (No. 216); the cell edges are 6.7331, 6.7331 and 6.7331 Å and the angles 90.00°, 90.00° and 90.00°. The distinct sites, in fractional coordinates, are Ge at (0.0000, 0.0000, 0.0000), Bi at (0.0000, 0.0000, 0.5000) and Au at (0.2500, 0.2500, 0.7500).


Going by the computed energies, the most stable comes first: b, a.


## a
The following is a GGA-PBE calculation of a geometry-optimized SrGeBi2Au structure, from Alexandria via LeMat-Bulk.

The value obtained for the density of states at the Fermi level is 5.339 states/eV/cell.

The structure belongs to space group P4/mmm (No. 123); the cell edges are 6.0815, 6.0815 and 5.6431 Å and the angles 90.00°, 90.00° and 90.00°. The distinct sites, in fractional coordinates, are Sr at (0.0000, 0.0000, 0.0000), Ge at (0.0000, 0.0000, 0.5000), Bi at (0.0000, 0.5000, 0.0000) and Au at (0.5000, 0.5000, 0.5000).


## b
The following is a GGA-PBE calculation of a geometry-optimized SrGeBi2Au structure, from Alexandria via LeMat-Bulk.

The value obtained for the density of states at the Fermi level is 4.721 states/eV/cell.

The structure belongs to space group P4/mmm (No. 123); the cell edges are 6.1016, 6.1016 and 5.5293 Å and the angles 90.00°, 90.00° and 90.00°. The distinct sites, in fractional coordinates, are Sr at (0.0000, 0.0000, 0.0000), Ge at (0.5000, 0.5000, 0.5000), Bi at (0.0000, 0.5000, 0.0000) and Au at (0.0000, 0.0000, 0.5000).


Going by the computed energies, the most stable comes first: b, a.


## a
The following is a GGA-PBE calculation of a geometry-optimized Bi2H2Au structure, from Alexandria via LeMat-Bulk.

The value obtained for the density of states at the Fermi level is 3.177 states/eV/cell.

The structure belongs to space group I4/mmm (No. 139); the cell edges are 3.5807, 3.5807 and 13.6835 Å and the angles 90.00°, 90.00° and 90.00°. The distinct sites, in fractional coordinates, are Bi at (0.0000, 0.0000, 0.1345), H at (0.0000, 0.5000, 0.2500) and Au at (0.0000, 0.0000, 0.5000).


## b
The following is a GGA-PBE calculation of a geometry-optimized Bi2H2Au structure, from Alexandria via LeMat-Bulk.

The value obtained for the density of states at the Fermi level is 2.276 states/eV/cell.

The structure belongs to space group P4/mbm (No. 127); the cell edges are 7.4628, 7.4628 and 4.1674 Å and the angles 90.00°, 90.00° and 90.00°. The distinct sites, in fractional coordinates, are Bi at (0.1496, 0.3504, 0.0000), H at (0.1361, 0.3639, 0.5000) and Au at (0.0000, 0.0000, 0.0000).


Going by the computed energies, the most stable comes first: b, a.


## a
The following is a GGA-PBE calculation of a geometry-optimized BiHAu2 structure, from Alexandria via LeMat-Bulk.

The value obtained for the density of states at the Fermi level is 3.888 states/eV/cell.

The structure belongs to space group R-3m (No. 166, hexagonal axes); the cell edges are 3.2621, 3.2621 and 24.1547 Å and the angles 90.00°, 90.00° and 120.00°. The distinct sites, in fractional coordinates, are Bi at (0.0000, 0.0000, 0.0000), H at (0.0000, 0.0000, 0.5000) and Au at (0.0000, 0.0000, 0.1192).


## b
The following is a GGA-PBE calculation of a geometry-optimized BiHAu2 structure, from Alexandria via LeMat-Bulk.

The value obtained for the density of states at the Fermi level is 5.664 states/eV/cell.

The structure belongs to space group Fm-3m (No. 225); the cell edges are 6.7643, 6.7643 and 6.7643 Å and the angles 90.00°, 90.00° and 90.00°. The distinct sites, in fractional coordinates, are Bi at (0.0000, 0.0000, 0.0000), H at (0.0000, 0.0000, 0.5000) and Au at (0.2500, 0.2500, 0.2500).


Going by the computed energies, the most stable comes first: a, b.